a:
Material: NbMoOs
Method: DFT, PBE
State: relaxed

abc: 2.6422 2.6422 15.0900
angles: 90.00 90.00 90.00
Sites, in units of the cell vectors:
Nb 0.0000 0.0000 0.0000
Nb 0.5000 0.5000 0.5000
Mo 0.0000 0.0000 0.3416
Mo 0.5000 0.5000 0.8416
Os 0.0000 0.0000 0.1751
Os 0.5000 0.5000 0.6751

- density of states at the Fermi level (states/eV per cell) = 7.0
- V (Å³/f.u.) = 52.7
- size of the total moment (μB/f.u.) = 0.001

b:
Material: NbMoOs
Method: DFT, PBE
State: relaxed

abc: 3.1913 3.1913 9.5174
angles: 90.00 90.00 90.00
Sites, in units of the cell vectors:
Nb 0.0000 0.0000 0.0000
Nb 0.5000 0.5000 0.5000
Mo 0.0000 0.0000 0.6641
Mo 0.5000 0.5000 0.1641
Os 0.0000 0.0000 0.3330
Os 0.5000 0.5000 0.8330

- density of states at the Fermi level (states/eV per cell) = 4.2
- V (Å³/f.u.) = 48.5
- size of the total moment (μB/f.u.) = 0.000

Quick one: most stable of them? b

a:
Material: NbMoOs2
Method: DFT, PBE
State: relaxed

abc: 3.9980 3.9980 3.9123
angles: 90.00 90.00 90.00
Sites, in units of the cell vectors:
Nb 0.0000 0.0000 0.0000
Mo 0.5000 0.5000 0.0000
Os 0.0000 0.5000 0.5000
Os 0.5000 0.0000 0.5000

- density of states at the Fermi level (states/eV per cell) = 3.9
- V (Å³/f.u.) = 62.5
- size of the total moment (μB/f.u.) = 0.000

b:
Material: NbMoOs2
Method: DFT, PBE
State: relaxed

abc: 6.3210 6.3210 6.3210
angles: 90.00 90.00 90.00
Sites, in units of the cell vectors:
Nb 0.0000 0.0000 0.0000
Nb 0.0000 0.5000 0.5000
Nb 0.5000 0.0000 0.5000
Nb 0.5000 0.5000 0.0000
Mo 0.0000 0.0000 0.5000
Mo 0.0000 0.5000 0.0000
Mo 0.5000 0.0000 0.0000
Mo 0.5000 0.5000 0.5000
Os 0.2500 0.2500 0.2500
Os 0.2500 0.2500 0.7500
Os 0.2500 0.7500 0.2500
Os 0.2500 0.7500 0.7500
Os 0.7500 0.2500 0.2500
Os 0.7500 0.2500 0.7500
Os 0.7500 0.7500 0.2500
Os 0.7500 0.7500 0.7500

- density of states at the Fermi level (states/eV per cell) = 34.3
- V (Å³/f.u.) = 63.1
- size of the total moment (μB/f.u.) = 0.000

c:
Material: NbMoOs2
Method: DFT, PBE
State: relaxed

abc: 5.7540 5.7540 11.3841
angles: 90.00 90.00 90.00
Sites, in units of the cell vectors:
Nb 0.0000 0.0000 0.0000
Nb 0.0000 0.5000 0.2500
Nb 0.5000 0.0000 0.7500
Nb 0.5000 0.5000 0.5000
Mo 0.0000 0.0000 0.5000
Mo 0.0000 0.5000 0.7500
Mo 0.5000 0.0000 0.2500
Mo 0.5000 0.5000 0.0000
Os 0.2367 0.2500 0.6250
Os 0.2500 0.7367 0.8750
Os 0.2500 0.7633 0.3750
Os 0.2633 0.2500 0.1250
Os 0.7367 0.7500 0.1250
Os 0.7500 0.2367 0.3750
Os 0.7500 0.2633 0.8750
Os 0.7633 0.7500 0.6250

- density of states at the Fermi level (states/eV per cell) = 16.1
- V (Å³/f.u.) = 94.2
- size of the total moment (μB/f.u.) = 0.000

Quick one: most stable of them? a

a:
Material: Nb4MoOs
Method: DFT, PBE
State: relaxed

abc: 7.5999 7.5999 7.5999
angles: 33.76 33.76 33.76
Sites, in units of the cell vectors:
Nb 0.1251 0.1251 0.1251
Nb 0.3744 0.3744 0.3744
Nb 0.6256 0.6256 0.6256
Nb 0.8749 0.8749 0.8749
Mo 0.5000 0.5000 0.5000
Os 0.0000 0.0000 0.0000

- density of states at the Fermi level (states/eV per cell) = 4.9
- V (Å³/f.u.) = 120.8
- size of the total moment (μB/f.u.) = 0.000

b:
Material: Nb4MoOs
Method: DFT, PBE
State: relaxed

abc: 9.1345 3.1374 7.4056
angles: 90.00 90.00 90.00
Sites, in units of the cell vectors:
Nb 0.0000 0.0000 0.0000
Nb 0.0210 0.5000 0.3280
Nb 0.2500 0.5000 0.9588
Nb 0.4790 0.5000 0.3280
Nb 0.5000 0.0000 0.0000
Nb 0.5210 0.5000 0.6720
Nb 0.7500 0.5000 0.0412
Nb 0.9790 0.5000 0.6720
Mo 0.2500 0.0000 0.6208
Mo 0.7500 0.0000 0.3792
Os 0.2500 0.0000 0.2650
Os 0.7500 0.0000 0.7350

- density of states at the Fermi level (states/eV per cell) = 11.7
- V (Å³/f.u.) = 106.1
- size of the total moment (μB/f.u.) = 0.000

Quick one: most stable of them? b

a:
Material: Nb6MoOs
Method: DFT, PBE
State: relaxed

abc: 6.5119 9.2335 4.5853
angles: 90.00 90.00 90.00
Sites, in units of the cell vectors:
Nb 0.0000 0.2494 0.0000
Nb 0.0000 0.7506 0.0000
Nb 0.2503 0.0000 0.0000
Nb 0.2500 0.2500 0.5000
Nb 0.2497 0.5000 0.0000
Nb 0.2500 0.7500 0.5000
Nb 0.5000 0.2506 0.0000
Nb 0.5000 0.7494 0.0000
Nb 0.7497 0.0000 0.0000
Nb 0.7500 0.2500 0.5000
Nb 0.7503 0.5000 0.0000
Nb 0.7500 0.7500 0.5000
Mo 0.0000 0.5000 0.5000
Mo 0.5000 0.0000 0.5000
Os 0.0000 0.0000 0.5000
Os 0.5000 0.5000 0.5000

- density of states at the Fermi level (states/eV per cell) = 13.8
- V (Å³/f.u.) = 137.8
- size of the total moment (μB/f.u.) = 0.000

b:
Material: Nb6MoOs
Method: DFT, PBE
State: relaxed

abc: 5.2006 5.2015 5.2046
angles: 89.98 89.78 89.94
Sites, in units of the cell vectors:
Nb 0.9998 0.2486 0.0001
Nb 0.0002 0.7514 0.9999
Nb 0.2483 0.5002 0.4993
Nb 0.4994 0.0000 0.2516
Nb 0.5006 0.0000 0.7484
Nb 0.7517 0.4998 0.5007
Mo 0.5000 0.5000 0.0000
Os 0.0000 0.0000 0.5000

- density of states at the Fermi level (states/eV per cell) = 8.3
- V (Å³/f.u.) = 140.8
- size of the total moment (μB/f.u.) = 0.000

Quick one: most stable of them? a